CaTl2P | PBE | relaxed

```
CaTl2P
1.0
4.595 0.000 0.000
0.000 5.200 0.000
-0.688 0.000 4.560
Ca Tl P
1 2 1
Direct
0.000 0.000 0.000 Ca
0.281 0.500 0.719 Tl
0.719 0.500 0.281 Tl
0.500 0.000 0.500 P
```

Summary:
DFT total energy: -13.1 eV/cell
E above lowest polymorph: 0.139 eV per atom
magnetization: 0.00 μB/f.u.
ΔE_f: -235 meV per atom
space-group type: P2/m (10)